Entry 1:
First-principles (PBE) data for a geometry-optimized BeSiP3 structure, as listed in the Alexandria database.

Computed properties:
* total DFT energy (no corrections): -3.966 eV/atom
* offset from the most stable computed form: 307 meV per atom

Unit cell a=4.470 b=4.470 c=4.470 alpha=90.00 beta=90.00 gamma=90.00
Sites, in units of the cell vectors:
P 0.000 0.000 0.500
Si 0.000 0.000 0.000
Be 0.500 0.500 0.500
P 0.500 0.000 0.000
P 0.000 0.500 0.000

---

Entry 2:
First-principles (PBE) data for a geometry-optimized Be2SiP structure, as listed in the Alexandria database.

Computed properties:
* total DFT energy (no corrections): -4.504 eV/atom
* offset from the most stable computed form: 40 meV per atom

Unit cell a=3.661 b=5.377 c=5.895 alpha=103.21 beta=90.99 gamma=107.30
Sites, in units of the cell vectors:
Si 0.693 0.552 0.749
Be 0.596 0.523 0.111
Be 0.290 0.014 0.668
Si 0.695 0.811 0.469
P 0.068 0.306 0.551
Be 0.008 0.300 0.185
P 0.407 0.089 0.038
Be 0.195 0.777 0.226

---

Entry 3:
First-principles (PBE) data for a geometry-optimized Be2SiP structure, as listed in the Alexandria database.

Computed properties:
* total DFT energy (no corrections): -4.544 eV/atom
* offset from the most stable computed form: 0 meV per atom

Unit cell a=3.904 b=5.309 c=6.212 alpha=78.79 beta=87.77 gamma=69.88
Sites, in units of the cell vectors:
Be 0.558 0.149 0.122
Si 0.093 0.709 0.237
Be 0.027 0.110 0.645
P 0.456 0.242 0.760
Be 0.677 0.535 0.188
P 0.068 0.134 0.295
Si 0.377 0.655 0.854
Be 0.791 0.837 0.901

---

Entry 4:
First-principles (PBE) data for a geometry-optimized BeSi2P structure, as listed in the Alexandria database.

Computed properties:
* total DFT energy (no corrections): -4.535 eV/atom
* offset from the most stable computed form: 326 meV per atom

Unit cell a=9.032 b=9.032 c=9.032 alpha=18.19 beta=18.19 gamma=18.19
Sites, in units of the cell vectors:
Be 0.504 0.504 0.504
P 0.780 0.780 0.780
Si 0.977 0.977 0.977
Si 0.239 0.239 0.239

---

Entry 5:
First-principles (PBE) data for a geometry-optimized BeSiP structure, as listed in the Alexandria database.

Computed properties:
* total DFT energy (no corrections): -5.012 eV/atom
* offset from the most stable computed form: 0 meV per atom

Unit cell a=8.293 b=3.746 c=6.502 alpha=90.00 beta=106.44 gamma=90.00
Sites, in units of the cell vectors:
Be 0.104 0.000 0.807
P 0.165 0.500 0.660
Be 0.104 0.500 0.307
P 0.835 0.500 0.340
P 0.165 0.000 0.160
Si 0.448 0.000 0.314
Si 0.448 0.500 0.814
Be 0.896 0.000 0.193
Be 0.896 0.500 0.693
Si 0.552 0.000 0.686
Si 0.552 0.500 0.186
P 0.835 0.000 0.840

---

Entry 6:
First-principles (PBE) data for a geometry-optimized BeSi3P structure, as listed in the Alexandria database.

Computed properties:
* total DFT energy (no corrections): -3.932 eV/atom
* offset from the most stable computed form: 381 meV per atom

Unit cell a=4.484 b=4.484 c=4.484 alpha=90.00 beta=90.00 gamma=90.00
Sites, in units of the cell vectors:
Si 0.500 0.000 0.000
Be 0.500 0.500 0.500
Si 0.000 0.500 0.000
Si 0.000 0.000 0.500
P 0.000 0.000 0.000